An optimized crystal structure of CeBiPdAu. Source: Alexandria, functional PBE.

Summary:
* SG: F-43m

Cell: 5.059 5.059 5.059 Å, 60.00 60.00 60.00°
Fractional positions:
Ce 0.000 0.000 0.000
Bi 0.500 0.500 0.500
Pd 0.250 0.250 0.250
Au 0.750 0.750 0.750



An optimized crystal structure of Ce2Bi2Pd7Au. Source: Alexandria, functional PBE.

Summary:
* SG: C2/m

Cell: 3.946 3.946 16.290 Å, 94.18 94.18 89.23°
Fractional positions:
Ce 0.078 0.078 0.253
Ce 0.922 0.922 0.747
Bi 0.360 0.360 0.614
Bi 0.640 0.640 0.386
Pd 0.000 0.000 0.000
Pd 0.038 0.538 0.130
Pd 0.183 0.183 0.446
Pd 0.462 0.962 0.870
Pd 0.538 0.038 0.130
Pd 0.817 0.817 0.554
Pd 0.962 0.462 0.870
Au 0.500 0.500 0.000



An optimized crystal structure of CeBiPtAu. Source: Alexandria, functional PBE.

Summary:
* SG: F-43m

Cell: 5.057 5.057 5.057 Å, 60.00 60.00 60.00°
Fractional positions:
Ce 0.000 0.000 0.000
Bi 0.500 0.500 0.500
Pt 0.250 0.250 0.250
Au 0.750 0.750 0.750



An optimized crystal structure of CeBiRhAu. Source: Alexandria, functional PBE.

Summary:
* SG: F-43m

Cell: 5.008 5.008 5.008 Å, 60.00 60.00 60.00°
Fractional positions:
Ce 0.000 0.000 0.000
Bi 0.500 0.500 0.500
Rh 0.250 0.250 0.250
Au 0.750 0.750 0.750



Looking at E for the records above, in order, we have -5.182, -5.279, -5.434, -5.580 eV/atom.
Looking at formation energy for the records above, in order, we have -0.61, -0.34, -0.65, -0.47 eV/atom.